No. 1
A plane-wave DFT calculation with PBE was carried out for crystalline As2PbCl8 at its relaxed geometry.

Output
The final energy comes out at -3.246 eV per atom. The space group is No. 12.

Cell and atoms, written as extended XYZ:
```
11
Lattice="6.491 -4.506 0.000 6.491 4.506 0.000 -2.456 0.000 7.334" Properties=species:S:1:pos:R:3 pbc="T T T"
As 1.678 0.000 1.005
As 8.848 0.000 6.330
Pb -1.228 0.000 3.667
Cl 3.343 2.718 5.140
Cl 0.430 0.000 5.984
Cl 7.183 2.718 2.195
Cl 3.594 0.000 2.043
Cl 6.932 0.000 5.291
Cl 3.343 -2.718 5.140
Cl 10.096 0.000 1.351
Cl 7.183 -2.718 2.195
```

---

No. 2
A plane-wave DFT calculation with PBE was carried out for crystalline CePuPa2S4 at its relaxed geometry.

Output
The final energy comes out at -8.717 eV per atom. The space group is No. 10.

Cell and atoms, written as extended XYZ:
```
8
Lattice="6.737 0.000 0.000 0.000 3.881 0.000 -2.233 0.000 6.577" Properties=species:S:1:pos:R:3 pbc="T T T"
Ce 0.000 0.000 0.000
Pu 3.369 1.940 0.000
Pa -1.117 1.940 3.289
Pa 2.252 0.000 3.289
S 0.036 0.000 4.929
S 1.153 1.940 1.665
S 3.351 1.940 4.912
S 4.468 0.000 1.648
```

---

No. 3
A plane-wave DFT calculation with PBE was carried out for crystalline NaV2S2 at its relaxed geometry.

Output
The final energy comes out at -6.441 eV per atom. The polymorph energy (0 for the lowest one) is 0.000 eV/atom. The space group is No. 139.

Cell and atoms, written as extended XYZ:
```
10
Lattice="3.568 0.000 0.000 0.000 3.568 0.000 0.000 0.000 13.464" Properties=species:S:1:pos:R:3 pbc="T T T"
Na 0.000 0.000 0.000
Na 1.784 1.784 6.732
V 0.000 1.784 3.366
V 0.000 1.784 10.098
V 1.784 0.000 3.366
V 1.784 0.000 10.098
S 0.000 0.000 4.966
S 0.000 0.000 8.498
S 1.784 1.784 1.766
S 1.784 1.784 11.698
```

---

No. 4
A plane-wave DFT calculation with PBE was carried out for crystalline Ca2NiSn6 at its relaxed geometry.

Output
The final energy comes out at -4.114 eV per atom. The space group is No. 38. The calculation puts the formation energy at -0.3588 eV per atom.

Cell and atoms, written as extended XYZ:
```
9
Lattice="4.508 0.000 0.000 0.000 2.237 11.867 0.000 -2.237 11.867" Properties=species:S:1:pos:R:3 pbc="T T T"
Ca 0.000 0.000 0.000
Ca 0.000 0.000 8.123
Ni 2.254 0.000 18.595
Sn 0.000 0.000 14.415
Sn 0.000 0.000 17.347
Sn 2.254 0.000 2.509
Sn 2.254 0.000 5.458
Sn 2.254 0.000 11.085
Sn 2.254 0.000 21.096
```

---

No. 5
A plane-wave DFT calculation with PBE was carried out for crystalline MgCoTe2I at its relaxed geometry.

Output
The final energy comes out at -3.100 eV per atom. The polymorph energy (0 for the lowest one) is 0.000 eV/atom. The space group is No. 123.

Cell and atoms, written as extended XYZ:
```
5
Lattice="5.028 0.000 0.000 0.000 5.028 0.000 0.000 0.000 5.561" Properties=species:S:1:pos:R:3 pbc="T T T"
Mg 0.000 0.000 0.000
Co 2.514 2.514 2.781
Te 0.000 2.514 2.781
Te 2.514 0.000 2.781
I 2.514 2.514 0.000
```

---

No. 6
A plane-wave DFT calculation with PBE was carried out for crystalline BaZn3Pt at its relaxed geometry.

Output
The final energy comes out at -2.551 eV per atom. The polymorph energy (0 for the lowest one) is 0.266 eV/atom. The space group is No. 119. The calculation puts the formation energy at -0.1934 eV per atom.

Cell and atoms, written as extended XYZ:
```
10
Lattice="-2.393 2.393 12.187 2.393 -2.393 12.187 2.393 2.393 -12.187" Properties=species:S:1:pos:R:3 pbc="T T T"
Ba 0.000 0.000 0.000
Ba 0.000 2.393 6.093
Zn 0.000 1.189 3.091
Zn 0.000 0.000 9.886
Zn 0.000 0.000 14.487
Zn -1.204 2.393 9.096
Zn 1.204 2.393 9.096
Zn 0.000 3.598 3.091
Pt 2.393 0.000 2.807
Pt 2.393 0.000 9.380
```

---

No. 7
A plane-wave DFT calculation with PBE was carried out for crystalline IrSe2Br at its relaxed geometry.

Output
The final energy comes out at -4.482 eV per atom. The polymorph energy (0 for the lowest one) is 0.122 eV/atom. The space group is No. 166.

Cell and atoms, written as extended XYZ:
```
12
Lattice="3.742 0.000 0.000 -1.871 3.240 0.000 0.000 0.000 21.927" Properties=species:S:1:pos:R:3 pbc="T T T"
Ir 0.000 0.000 0.000
Ir 0.000 2.160 14.618
Ir 1.871 1.080 7.309
Se 0.000 0.000 6.028
Se 0.000 0.000 15.899
Se 0.000 2.160 8.590
Se 0.000 2.160 20.647
Se 1.871 1.080 1.281
Se 1.871 1.080 13.337
Br 0.000 0.000 10.964
Br 0.000 2.160 3.655
Br 1.871 1.080 18.273
```

---

No. 8
A plane-wave DFT calculation with PBE was carried out for crystalline HfSbSI2 at its relaxed geometry.

Output
The final energy comes out at -3.966 eV per atom. The polymorph energy (0 for the lowest one) is 0.000 eV/atom. The space group is No. 123.

Cell and atoms, written as extended XYZ:
```
5
Lattice="5.475 0.000 0.000 0.000 5.475 0.000 0.000 0.000 5.805" Properties=species:S:1:pos:R:3 pbc="T T T"
Hf 0.000 0.000 0.000
Sb 0.000 0.000 2.902
S 2.738 2.738 2.902
I 0.000 2.738 0.000
I 2.738 0.000 0.000
```

---

Copy entry 3 word for word.
A plane-wave DFT calculation with PBE was carried out for crystalline NaV2S2 at its relaxed geometry.

Output
The final energy comes out at -6.441 eV per atom. The polymorph energy (0 for the lowest one) is 0.000 eV/atom. The space group is No. 139.

Cell and atoms, written as extended XYZ:
```
10
Lattice="3.568 0.000 0.000 0.000 3.568 0.000 0.000 0.000 13.464" Properties=species:S:1:pos:R:3 pbc="T T T"
Na 0.000 0.000 0.000
Na 1.784 1.784 6.732
V 0.000 1.784 3.366
V 0.000 1.784 10.098
V 1.784 0.000 3.366
V 1.784 0.000 10.098
S 0.000 0.000 4.966
S 0.000 0.000 8.498
S 1.784 1.784 1.766
S 1.784 1.784 11.698
```

---

> Among the records above, which one has the highest final energy?

BaZn3Pt

---

> Which formula does entry 8 have?

HfSbSI2

---

Please write out number 8 again, unchanged.
A plane-wave DFT calculation with PBE was carried out for crystalline HfSbSI2 at its relaxed geometry.

Output
The final energy comes out at -3.966 eV per atom. The polymorph energy (0 for the lowest one) is 0.000 eV/atom. The space group is No. 123.

Cell and atoms, written as extended XYZ:
```
5
Lattice="5.475 0.000 0.000 0.000 5.475 0.000 0.000 0.000 5.805" Properties=species:S:1:pos:R:3 pbc="T T T"
Hf 0.000 0.000 0.000
Sb 0.000 0.000 2.902
S 2.738 2.738 2.902
I 0.000 2.738 0.000
I 2.738 0.000 0.000
```